7
Lattice="-4.254 -1.497 -3.228 0.287 -4.670 -2.977 -4.653 -6.320 4.300" Properties=species:S:1:pos:R:3 comment="CaNd4In2 PBE optimized geometry" e_form_kcal_per_mol_atoms=-6.3 dos_ef_per_ev_cell=5.5 magnetic_moment_mub_per_atom=0.00 volume_a3_per_atom=31.8 pbc="T T T"
Nd -3.473 -5.172 -2.554
Ca 0.000 0.000 0.000
In -6.762 -9.746 -0.861
Nd -5.148 -7.316 0.649
In -1.858 -2.741 -1.045
Nd -3.135 -4.376 1.397
Nd -5.486 -8.112 -3.302